(1)
Entry from the Alexandria database: an optimized crystal structure of Pu2AsO (PBE).

```
Pu2AsO
1.0
-2.096 -1.500 1.845
4.265 -2.305 2.970
-0.094 6.547 5.216
Pu O As
4 2 2
Direct
0.000 0.616 0.683
0.000 0.616 0.317
0.500 0.384 0.183
0.500 0.384 0.817
0.000 0.279 0.000
0.500 0.721 0.500
0.000 0.188 0.500
0.500 0.812 0.000
```

Results
Space group: Pmmn (59)
Offset from the most stable computed form in eV/f.u.: 3.25

---

(2)
Entry from the Alexandria database: an optimized crystal structure of La8MgRu2 (PBE).

```
La8MgRu2
1.0
7.455 -0.744 -0.565
-1.555 7.459 0.193
-1.555 2.194 7.132
La Ru Mg
8 2 1
Direct
0.305 0.876 0.876
0.309 0.806 0.411
0.309 0.411 0.806
0.695 0.124 0.124
0.691 0.194 0.589
0.691 0.589 0.194
0.182 0.314 0.314
0.818 0.686 0.686
0.624 0.828 0.828
0.376 0.172 0.172
0.000 0.000 0.000
```

Results
Final energy in eV/atom: -5.520
Space group: C2/m (12)

---

(3)
Entry from the Alexandria database: an optimized crystal structure of NdCo4 (PBE).

```
NdCo4
1.0
-0.633 0.240 -4.614
2.308 -4.017 -0.525
-4.002 -2.355 0.427
Co Nd
4 1
Direct
0.500 0.000 0.500
0.000 0.000 0.000
0.500 0.500 0.000
0.000 0.500 0.500
0.500 0.500 0.500
```

Results
Final energy in eV/atom: -4.573
Space group: Pm-3m (221)

---

(4)
Entry from the Alexandria database: an optimized crystal structure of BaAl2As3 (PBE).

```
BaAl2As3
1.0
4.048 0.000 -0.823
-0.230 7.009 -1.132
0.355 -0.763 12.110
Ba Al As
2 4 6
Direct
0.353 0.077 0.707
0.647 0.923 0.293
0.299 0.576 0.597
0.063 0.261 0.125
0.937 0.739 0.875
0.701 0.424 0.403
0.960 0.102 0.920
0.599 0.436 0.198
0.040 0.898 0.080
0.401 0.564 0.802
0.771 0.746 0.542
0.229 0.254 0.458
```

Results
Final energy in eV/atom: -4.418
Space group: C2/m (12)